1.
A plane-wave DFT calculation with PBE-GGA was carried out for a geometry-optimized Tb2PrCo6 structure.

a = 6.707 Å, b = 6.707 Å, c = 4.130 Å
α = 90.00°, β = 90.00°, γ = 120.00°
Atoms (fractional coordinates):
Tb: 0.333 0.667 0.000
Tb: 0.667 0.333 0.000
Pr: 0.000 0.000 0.000
Co: 0.000 0.335 0.500
Co: 0.000 0.665 0.500
Co: 0.335 0.000 0.500
Co: 0.335 0.335 0.500
Co: 0.665 0.000 0.500
Co: 0.665 0.665 0.500

## Properties
crystal system: hexagonal
formation enthalpy at 0 K: -125 meV/atom
SG: No. 191
N(E_F): 0.767 states/eV/atom
magnetic moment: 4.46 μB per cell



2.
A plane-wave DFT calculation with PBE-GGA was carried out for a geometry-optimized Tb3PrCo2 structure.

a = 8.548 Å, b = 8.548 Å, c = 11.965 Å
α = 124.20°, β = 124.20°, γ = 25.40°
Atoms (fractional coordinates):
Tb: 0.085 0.085 0.448
Tb: 0.086 0.086 0.939
Tb: 0.342 0.342 0.249
Tb: 0.658 0.658 0.751
Tb: 0.914 0.914 0.061
Tb: 0.915 0.915 0.552
Pr: 0.345 0.345 0.754
Pr: 0.655 0.655 0.246
Co: 0.264 0.264 0.451
Co: 0.266 0.266 0.954
Co: 0.734 0.734 0.046
Co: 0.736 0.736 0.549

## Properties
crystal system: monoclinic
formation enthalpy at 0 K: -105 meV/atom
SG: No. 12
N(E_F): 1.302 states/eV/atom
magnetic moment: 0.00 μB per cell



3.
A plane-wave DFT calculation with PBE-GGA was carried out for a geometry-optimized Tb2PrCo9 structure.

a = 8.631 Å, b = 8.631 Å, c = 8.631 Å
α = 33.91°, β = 33.91°, γ = 33.91°
Atoms (fractional coordinates):
Tb: 0.140 0.140 0.140
Tb: 0.860 0.860 0.860
Pr: 0.000 0.000 0.000
Co: 0.079 0.583 0.583
Co: 0.335 0.335 0.335
Co: 0.417 0.417 0.921
Co: 0.417 0.921 0.417
Co: 0.500 0.500 0.500
Co: 0.583 0.079 0.583
Co: 0.583 0.583 0.079
Co: 0.665 0.665 0.665
Co: 0.921 0.417 0.417

## Properties
crystal system: trigonal
formation enthalpy at 0 K: -116 meV/atom
SG: No. 166
N(E_F): 1.419 states/eV/atom
magnetic moment: 10.43 μB per cell



4.
A plane-wave DFT calculation with PBE-GGA was carried out for a geometry-optimized Tb2PrCo structure.

a = 3.820 Å, b = 3.820 Å, c = 27.328 Å
α = 90.00°, β = 90.00°, γ = 120.00°
Atoms (fractional coordinates):
Tb: 0.000 0.000 0.000
Tb: 0.000 0.000 0.224
Tb: 0.333 0.667 0.667
Tb: 0.333 0.667 0.890
Tb: 0.667 0.333 0.333
Tb: 0.667 0.333 0.557
Pr: 0.000 0.000 0.777
Pr: 0.333 0.667 0.443
Pr: 0.667 0.333 0.110
Co: 0.000 0.000 0.612
Co: 0.333 0.667 0.279
Co: 0.667 0.333 0.945

## Properties
crystal system: trigonal
formation enthalpy at 0 K: -21 meV/atom
SG: No. 160
N(E_F): 1.140 states/eV/atom
magnetic moment: 0.00 μB per cell
E above lowest polymorph: 94 meV per atom



5.
A plane-wave DFT calculation with PBE-GGA was carried out for a geometry-optimized TbPrCo4 structure.

a = 3.879 Å, b = 4.162 Å, c = 6.731 Å
α = 90.00°, β = 90.00°, γ = 90.00°
Atoms (fractional coordinates):
Tb: 0.000 0.000 0.000
Pr: 0.500 0.000 0.500
Co: 0.000 0.500 0.330
Co: 0.000 0.500 0.670
Co: 0.500 0.500 0.164
Co: 0.500 0.500 0.836

## Properties
crystal system: orthorhombic
formation enthalpy at 0 K: -127 meV/atom
SG: No. 47
N(E_F): 0.797 states/eV/atom
magnetic moment: 2.88 μB per cell
E above lowest polymorph: 0 meV per atom



6.
A plane-wave DFT calculation with PBE-GGA was carried out for a geometry-optimized TbPr2Co2 structure.

a = 6.639 Å, b = 6.639 Å, c = 11.181 Å
α = 119.18°, β = 119.18°, γ = 34.46°
Atoms (fractional coordinates):
Tb: 0.219 0.219 0.364
Tb: 0.781 0.781 0.636
Pr: 0.335 0.335 0.926
Pr: 0.468 0.468 0.307
Pr: 0.532 0.532 0.693
Pr: 0.665 0.665 0.074
Co: 0.008 0.008 0.895
Co: 0.104 0.104 0.540
Co: 0.896 0.896 0.460
Co: 0.992 0.992 0.105

## Properties
crystal system: monoclinic
formation enthalpy at 0 K: -38 meV/atom
SG: No. 12
N(E_F): 1.106 states/eV/atom
magnetic moment: 0.01 μB per cell
E above lowest polymorph: 0 meV per atom



7.
A plane-wave DFT calculation with PBE-GGA was carried out for a geometry-optimized TbPr2Co structure.

a = 3.558 Å, b = 3.558 Å, c = 8.929 Å
α = 90.00°, β = 90.00°, γ = 90.00°
Atoms (fractional coordinates):
Tb: 0.000 0.000 0.000
Pr: 0.500 0.500 0.308
Pr: 0.500 0.500 0.692
Co: 0.000 0.000 0.500

## Properties
crystal system: tetragonal
formation enthalpy at 0 K: 98 meV/atom
SG: No. 123
N(E_F): 1.396 states/eV/atom
magnetic moment: 1.78 μB per cell
E above lowest polymorph: 168 meV per atom



8.
A plane-wave DFT calculation with PBE-GGA was carried out for a geometry-optimized Tb3PrCo structure.

a = 7.199 Å, b = 7.199 Å, c = 8.262 Å
α = 124.42°, β = 124.42°, γ = 70.24°
Atoms (fractional coordinates):
Tb: 0.044 0.453 0.794
Tb: 0.046 0.046 0.251
Tb: 0.453 0.044 0.794
Tb: 0.547 0.956 0.206
Tb: 0.954 0.954 0.749
Tb: 0.956 0.547 0.206
Pr: 0.452 0.452 0.665
Pr: 0.548 0.548 0.335
Co: 0.246 0.246 0.108
Co: 0.754 0.754 0.892

## Properties
crystal system: monoclinic
formation enthalpy at 0 K: -85 meV/atom
SG: No. 12
N(E_F): 1.036 states/eV/atom
magnetic moment: 0.00 μB per cell
E above lowest polymorph: 0 meV per atom



formation enthalpy at 0 K of number 7 (TbPr2Co)? 98 meV/atom



Which of these has the highest N(E_F)? Tb2PrCo9



What is the formula in the fifth record? TbPrCo4



What did the second record say?
A plane-wave DFT calculation with PBE-GGA was carried out for a geometry-optimized Tb3PrCo2 structure.

a = 8.548 Å, b = 8.548 Å, c = 11.965 Å
α = 124.20°, β = 124.20°, γ = 25.40°
Atoms (fractional coordinates):
Tb: 0.085 0.085 0.448
Tb: 0.086 0.086 0.939
Tb: 0.342 0.342 0.249
Tb: 0.658 0.658 0.751
Tb: 0.914 0.914 0.061
Tb: 0.915 0.915 0.552
Pr: 0.345 0.345 0.754
Pr: 0.655 0.655 0.246
Co: 0.264 0.264 0.451
Co: 0.266 0.266 0.954
Co: 0.734 0.734 0.046
Co: 0.736 0.736 0.549

## Properties
crystal system: monoclinic
formation enthalpy at 0 K: -105 meV/atom
SG: No. 12
N(E_F): 1.302 states/eV/atom
magnetic moment: 0.00 μB per cell